# 1
Sm3Ni7B2 | PBE | relaxed

**Total energy**: -0.4485 Ry per atom
**Volume**: 165.8 Å³/f.u.
**SG**: P6_3/mmc
**DFT formation energy**: -437 meV/atom

The structure in extended XYZ format:
```
24
Lattice="5.1591 0.0000 0.0000 -2.5796 4.4679 0.0000 0.0000 0.0000 14.3877" Properties=species:S:1:pos:R:3 pbc="T T T"
Sm 0.0000 2.9786 7.6388
Sm 2.5796 1.4893 6.7489
Sm 2.5796 1.4893 3.5969
Sm 0.0000 2.9786 10.7908
Sm 0.0000 2.9786 13.9428
Sm 2.5796 1.4893 0.4449
Ni 1.2786 0.7382 9.3656
Ni 0.0000 1.4764 2.1718
Ni 0.0000 1.4764 5.0221
Ni 2.5796 2.9915 12.2159
Ni 1.2786 0.7382 12.2159
Ni 2.5796 2.9915 9.3656
Ni -1.3010 3.7297 5.0221
Ni 1.3010 3.7297 2.1718
Ni 1.3010 3.7297 5.0221
Ni -1.3010 3.7297 2.1718
Ni 3.8805 0.7382 12.2159
Ni 0.0000 0.0000 7.1939
Ni 0.0000 0.0000 0.0000
Ni 3.8805 0.7382 9.3656
B 0.0000 0.0000 3.5969
B 0.0000 2.9786 3.5969
B 2.5796 1.4893 10.7908
B 0.0000 0.0000 10.7908
```

***

# 2
AcTbMg2Tl4 | PBE | relaxed

**Total energy**: -0.2145 Ry per atom
**Volume**: 228.0 Å³/f.u.
**SG**: R-3m
**DFT formation energy**: -245 meV/atom

The structure in extended XYZ format:
```
8
Lattice="4.9719 0.0000 0.0000 2.4860 4.3058 0.0000 2.4860 1.4353 10.6515" Properties=species:S:1:pos:R:3 pbc="T T T"
Tl 2.4860 1.4353 6.7266
Tl 4.9719 2.8705 8.7907
Tl 4.9719 2.8705 1.8607
Tl 7.4579 4.3058 3.9249
Tb 4.9719 2.8705 5.3257
Mg 2.4860 1.4353 2.8753
Mg 7.4579 4.3058 7.7762
Ac 0.0000 0.0000 0.0000
```

***

# 3
Rb2SmAlS4 | PBE | relaxed

**Uncorrected formation energy**: -1.29 eV per atom
**Total energy**: -0.3422 Ry per atom
**Volume**: 204.8 Å³/f.u.
**SG**: Imma

The structure in extended XYZ format:
```
16
Lattice="8.3407 -0.0108 -0.2282 -0.0166 8.3407 -0.2282 -4.2512 -4.2542 6.1196" Properties=species:S:1:pos:R:3 pbc="T T T"
S 3.9627 3.7839 3.0701
S 6.6201 1.9196 -0.0814
S -2.5471 2.1561 5.7446
S 2.3281 2.1482 5.4247
S 0.1048 3.7572 2.6849
S 0.1101 0.2919 2.5931
S 3.9680 0.3185 2.9783
S 1.7447 1.9275 0.2385
Rb 2.0448 -2.1325 2.9457
Rb -2.1256 -2.1271 3.0598
Rb 4.1621 4.1649 -0.2282
Rb 4.1704 -0.0054 -0.1141
Sm 6.2068 2.0325 2.7175
Sm -0.0083 4.1704 -0.1141
Al 2.0364 2.0379 2.8316
Al 4.0895 -4.2650 5.8914
```

***

> Among the records above, which one has the lowest total energy?

Sm3Ni7B2